Here is an optimized crystal structure of TlSi2Sb2 from the Alexandria database. Energies are from GGA-PBEsol.

Output
Formation energy from raw total energies ... 7.5 kcal/mol of atoms
Space group ... I4/mmm, No. 139
V ... 25.3 A^3/atom

Cell lengths 7.704, 7.704, 7.704 Å; angles 148.22, 148.22, 45.57 degrees
Fractional coordinates of all 5 atoms:
Tl 0.000 0.000 0.000
Si 0.250 0.750 0.500
Si 0.750 0.250 0.500
Sb 0.375 0.375 0.000
Sb 0.625 0.625 0.000

=====

Here is an optimized crystal structure of SiSb2Ru from the Alexandria database. Energies are from GGA-PBEsol.

Output
Formation energy from raw total energies ... -2.3 kcal/mol of atoms
Space group ... Cm, No. 8
V ... 21.5 A^3/atom

Cell lengths 4.067, 4.067, 6.437 Å; angles 108.31, 108.31, 59.86 degrees
Fractional coordinates of all 4 atoms:
Si 0.000 0.000 0.000
Sb 0.573 0.573 0.718
Sb 0.759 0.759 0.282
Ru 0.333 0.333 0.001